# DyErPdRh (PBE, optimized geometry)
data_DyErPdRh
_chemical_formula_sum 'Dy4 Er4 Pd4 Rh4'
_space_group_name_H-M_alt 'F -4 3 m'
_space_group_IT_number 216
_space_group_name_Hall 'F -4 2 3'
_cell_length_a 6.902
_cell_length_b 6.902
_cell_length_c 6.902
_cell_angle_alpha 90.00
_cell_angle_beta 90.00
_cell_angle_gamma 90.00
loop_
_atom_site_label
_atom_site_type_symbol
_atom_site_fract_x
_atom_site_fract_y
_atom_site_fract_z
_atom_site_occupancy
Dy1 Dy 0.000 0.000 0.000 1
Er1 Er 0.000 0.000 0.500 1
Pd1 Pd 0.250 0.250 0.750 1
Rh1 Rh 0.250 0.250 0.250 1
# Energy: -6.334 eV per atom
# ΔE to the lowest computed polymorph: 15 meV per atom
# Formation energy: -0.91 eV/atom
# Total moment: 0.000 μB/atom

=====

# GaSb2PdI (PBE, optimized geometry)
data_GaSb2PdI
_chemical_formula_sum 'Ga1 Sb2 Pd1 I1'
_space_group_name_H-M_alt 'P 4/m m m'
_space_group_IT_number 123
_space_group_name_Hall '-P 4 2'
_cell_length_a 5.280
_cell_length_b 5.280
_cell_length_c 5.523
_cell_angle_alpha 90.00
_cell_angle_beta 90.00
_cell_angle_gamma 90.00
loop_
_atom_site_label
_atom_site_type_symbol
_atom_site_fract_x
_atom_site_fract_y
_atom_site_fract_z
_atom_site_occupancy
Ga1 Ga 0.000 0.000 0.000 1
Sb1 Sb 0.000 0.500 0.000 1
Pd1 Pd 0.500 0.500 0.500 1
I1 I 0.000 0.000 0.500 1
# Energy: -2.847 eV per atom
# ΔE to the lowest computed polymorph: 455 meV per atom
# Total moment: 0.000 μB/atom

=====

# LiTaAs2 (PBE, optimized geometry)
data_LiTaAs2
_chemical_formula_sum 'Li1 Ta1 As2'
_space_group_name_H-M_alt 'P 4/m m m'
_space_group_IT_number 123
_space_group_name_Hall '-P 4 2'
_cell_length_a 3.369
_cell_length_b 3.369
_cell_length_c 5.894
_cell_angle_alpha 90.00
_cell_angle_beta 90.00
_cell_angle_gamma 90.00
loop_
_atom_site_label
_atom_site_type_symbol
_atom_site_fract_x
_atom_site_fract_y
_atom_site_fract_z
_atom_site_occupancy
Li1 Li 0.000 0.000 0.000 1
Ta1 Ta 0.000 0.000 0.500 1
As1 As 0.500 0.500 0.263 1
# Energy: -6.128 eV per atom
# ΔE to the lowest computed polymorph: 74 meV per atom
# Formation energy: -0.36 eV/atom
# Total moment: 0.000 μB/atom

=====

# Li8ZnSi2 (PBE, optimized geometry)
data_Li8ZnSi2
_chemical_formula_sum 'Li16 Zn2 Si4'
_space_group_name_H-M_alt 'I m m m'
_space_group_IT_number 71
_space_group_name_Hall '-I 2 2'
_cell_length_a 4.444
_cell_length_b 6.057
_cell_length_c 13.206
_cell_angle_alpha 90.00
_cell_angle_beta 90.00
_cell_angle_gamma 90.00
loop_
_atom_site_label
_atom_site_type_symbol
_atom_site_fract_x
_atom_site_fract_y
_atom_site_fract_z
_atom_site_occupancy
Li1 Li 0.000 0.000 0.174 1
Li2 Li 0.000 0.229 0.338 1
Li3 Li 0.000 0.287 0.000 1
Zn1 Zn 0.000 0.500 0.500 1
Si1 Si 0.000 0.500 0.180 1
# Energy: -2.638 eV per atom
# Total moment: 0.000 μB/atom

=====

# Tl2PtS (PBE, optimized geometry)
data_Tl2PtS
_chemical_formula_sum 'Tl8 Pt4 S4'
_space_group_name_H-M_alt 'F m -3 m'
_space_group_IT_number 225
_space_group_name_Hall '-F 4 2 3'
_cell_length_a 7.086
_cell_length_b 7.086
_cell_length_c 7.086
_cell_angle_alpha 90.00
_cell_angle_beta 90.00
_cell_angle_gamma 90.00
loop_
_atom_site_label
_atom_site_type_symbol
_atom_site_fract_x
_atom_site_fract_y
_atom_site_fract_z
_atom_site_occupancy
Tl1 Tl 0.250 0.250 0.250 1
Pt1 Pt 0.000 0.000 0.000 1
S1 S 0.000 0.000 0.500 1
# Energy: -3.406 eV per atom
# ΔE to the lowest computed polymorph: 220 meV per atom
# Total moment: 0.000 μB/atom

=====

# Ba2HgS (PBE, optimized geometry)
data_Ba2HgS
_chemical_formula_sum 'Ba2 Hg1 S1'
_space_group_name_H-M_alt 'P 4/m m m'
_space_group_IT_number 123
_space_group_name_Hall '-P 4 2'
_cell_length_a 4.026
_cell_length_b 4.026
_cell_length_c 8.113
_cell_angle_alpha 90.00
_cell_angle_beta 90.00
_cell_angle_gamma 90.00
loop_
_atom_site_label
_atom_site_type_symbol
_atom_site_fract_x
_atom_site_fract_y
_atom_site_fract_z
_atom_site_occupancy
Ba1 Ba 0.000 0.000 0.227 1
Hg1 Hg 0.500 0.500 0.500 1
S1 S 0.500 0.500 0.000 1
# Energy: -3.163 eV per atom
# ΔE to the lowest computed polymorph: 65 meV per atom
# Total moment: 0.000 μB/atom

=====

# LaSiSb2 (PBE, optimized geometry)
data_LaSiSb2
_chemical_formula_sum 'La2 Si2 Sb4'
_space_group_name_H-M_alt 'I m m m'
_space_group_IT_number 71
_space_group_name_Hall '-I 2 2'
_cell_length_a 3.857
_cell_length_b 5.460
_cell_length_c 9.767
_cell_angle_alpha 90.00
_cell_angle_beta 90.00
_cell_angle_gamma 90.00
loop_
_atom_site_label
_atom_site_type_symbol
_atom_site_fract_x
_atom_site_fract_y
_atom_site_fract_z
_atom_site_occupancy
La1 La 0.000 0.000 0.000 1
Si1 Si 0.000 0.000 0.500 1
Sb1 Sb 0.000 0.500 0.211 1
# Energy: -5.034 eV per atom
# Total moment: 0.000 μB/atom

=====

# ZnSiTc3 (PBE, optimized geometry)
data_ZnSiTc3
_chemical_formula_sum 'Zn1 Si1 Tc3'
_space_group_name_H-M_alt 'P m -3 m'
_space_group_IT_number 221
_space_group_name_Hall '-P 4 2 3'
_cell_length_a 4.491
_cell_length_b 4.491
_cell_length_c 4.491
_cell_angle_alpha 90.00
_cell_angle_beta 90.00
_cell_angle_gamma 90.00
loop_
_atom_site_label
_atom_site_type_symbol
_atom_site_fract_x
_atom_site_fract_y
_atom_site_fract_z
_atom_site_occupancy
Zn1 Zn 0.000 0.000 0.000 1
Si1 Si 0.500 0.500 0.500 1
Tc1 Tc 0.000 0.000 0.500 1
# Energy: -5.837 eV per atom
# ΔE to the lowest computed polymorph: 850 meV per atom
# Total moment: 0.673 μB/atom

=====

# Ba2Li2Sn (PBE, optimized geometry)
data_Ba2Li2Sn
_chemical_formula_sum 'Ba4 Li4 Sn2'
_space_group_name_H-M_alt 'P 4/m b m'
_space_group_IT_number 127
_space_group_name_Hall '-P 4 2ab'
_cell_length_a 7.741
_cell_length_b 7.741
_cell_length_c 5.474
_cell_angle_alpha 90.00
_cell_angle_beta 90.00
_cell_angle_gamma 90.00
loop_
_atom_site_label
_atom_site_type_symbol
_atom_site_fract_x
_atom_site_fract_y
_atom_site_fract_z
_atom_site_occupancy
Ba1 Ba 0.198 0.302 0.000 1
Li1 Li 0.134 0.634 0.500 1
Sn1 Sn 0.000 0.000 0.500 1
# Energy: -2.593 eV per atom
# ΔE to the lowest computed polymorph: 72 meV per atom
# Formation energy: -0.26 eV/atom
# Total moment: 0.000 μB/atom

=====

# Sm2Al2S7 (PBE, optimized geometry)
data_Sm2Al2S7
_chemical_formula_sum 'Sm4 Al4 S14'
_space_group_name_H-M_alt 'C 1 2/m 1'
_space_group_IT_number 12
_space_group_name_Hall '-C 2y'
_cell_length_a 8.052
_cell_length_b 11.905
_cell_length_c 6.599
_cell_angle_alpha 90.00
_cell_angle_beta 111.67
_cell_angle_gamma 90.00
loop_
_atom_site_label
_atom_site_type_symbol
_atom_site_fract_x
_atom_site_fract_y
_atom_site_fract_z
_atom_site_occupancy
Sm1 Sm 0.000 0.189 0.000 1
Al1 Al 0.229 0.500 0.363 1
S1 S 0.000 0.500 0.500 1
S2 S 0.177 0.000 0.269 1
S3 S 0.235 0.161 0.781 1
# Energy: -5.422 eV per atom
# Total moment: 0.000 μB/atom

=====

# Ce2HfMg (PBE, optimized geometry)
data_Ce2HfMg
_chemical_formula_sum 'Ce8 Hf4 Mg4'
_space_group_name_H-M_alt 'F m -3 m'
_space_group_IT_number 225
_space_group_name_Hall '-F 4 2 3'
_cell_length_a 7.482
_cell_length_b 7.482
_cell_length_c 7.482
_cell_angle_alpha 90.00
_cell_angle_beta 90.00
_cell_angle_gamma 90.00
loop_
_atom_site_label
_atom_site_type_symbol
_atom_site_fract_x
_atom_site_fract_y
_atom_site_fract_z
_atom_site_occupancy
Ce1 Ce 0.250 0.250 0.250 1
Hf1 Hf 0.000 0.000 0.000 1
Mg1 Mg 0.000 0.000 0.500 1
# Energy: -5.637 eV per atom
# ΔE to the lowest computed polymorph: 145 meV per atom
# Formation energy: 0.22 eV/atom
# Total moment: 0.214 μB/atom

=====

# Sc4SnPdRh2 (PBE, optimized geometry)
data_Sc4SnPdRh2
_chemical_formula_sum 'Sc12 Sn3 Pd3 Rh6'
_space_group_name_H-M_alt 'R -3 m'
_space_group_IT_number 166
_space_group_name_Hall '-R 3 2"'
_cell_length_a 4.7048
_cell_length_b 4.7048
_cell_length_c 23.2949
_cell_angle_alpha 90.00
_cell_angle_beta 90.00
_cell_angle_gamma 120.00
loop_
_atom_site_label
_atom_site_type_symbol
_atom_site_fract_x
_atom_site_fract_y
_atom_site_fract_z
_atom_site_occupancy
Sc1 Sc 0.0000 0.0000 0.1185 1
Sc2 Sc 0.0000 0.0000 0.3704 1
Sn1 Sn 0.0000 0.0000 0.5000 1
Pd1 Pd 0.0000 0.0000 0.0000 1
Rh1 Rh 0.0000 0.0000 0.2498 1
# Energy: -6.986 eV per atom
# Formation energy: -0.83 eV/atom
# Total moment: 0.000 μB/atom

=====

# Th6BiTe3Ru2 (PBE, optimized geometry)
data_Th6BiTe3Ru2
_chemical_formula_sum 'Th12 Bi2 Te6 Ru4'
_space_group_name_H-M_alt 'C 1 2/m 1'
_space_group_IT_number 12
_space_group_name_Hall '-C 2y'
_cell_length_a 19.418
_cell_length_b 4.284
_cell_length_c 9.233
_cell_angle_alpha 90.00
_cell_angle_beta 106.11
_cell_angle_gamma 90.00
loop_
_atom_site_label
_atom_site_type_symbol
_atom_site_fract_x
_atom_site_fract_y
_atom_site_fract_z
_atom_site_occupancy
Th1 Th 0.024 0.000 0.268 1
Th2 Th 0.174 0.500 0.135 1
Th3 Th 0.180 0.500 0.562 1
Bi1 Bi 0.000 0.500 0.000 1
Te1 Te 0.000 0.500 0.500 1
Te2 Te 0.155 0.000 0.840 1
Ru1 Ru 0.172 0.000 0.342 1
# Energy: -7.220 eV per atom
# Total moment: 0.000 μB/atom

=====

# AsPd3Au (PBE, optimized geometry)
data_AsPd3Au
_chemical_formula_sum 'As1 Pd3 Au1'
_space_group_name_H-M_alt 'P m -3 m'
_space_group_IT_number 221
_space_group_name_Hall '-P 4 2 3'
_cell_length_a 4.624
_cell_length_b 4.624
_cell_length_c 4.624
_cell_angle_alpha 90.00
_cell_angle_beta 90.00
_cell_angle_gamma 90.00
loop_
_atom_site_label
_atom_site_type_symbol
_atom_site_fract_x
_atom_site_fract_y
_atom_site_fract_z
_atom_site_occupancy
As1 As 0.000 0.000 0.000 1
Pd1 Pd 0.000 0.000 0.500 1
Au1 Au 0.500 0.500 0.500 1
# Energy: -4.514 eV per atom
# ΔE to the lowest computed polymorph: 339 meV per atom
# Formation energy: 0.19 eV/atom
# Total moment: 0.000 μB/atom

=====

# Nd8P3PtI4 (PBE, optimized geometry)
data_Nd8P3PtI4
_chemical_formula_sum 'Nd24 P9 Pt3 I12'
_space_group_name_H-M_alt 'R -3 m'
_space_group_IT_number 166
_space_group_name_Hall '-R 3 2"'
_cell_length_a 8.5257
_cell_length_b 8.5257
_cell_length_c 23.0264
_cell_angle_alpha 90.00
_cell_angle_beta 90.00
_cell_angle_gamma 120.00
loop_
_atom_site_label
_atom_site_type_symbol
_atom_site_fract_x
_atom_site_fract_y
_atom_site_fract_z
_atom_site_occupancy
Nd1 Nd 0.0000 0.0000 0.2302 1
Nd2 Nd 0.0007 0.5004 0.2309 1
P1 P 0.0000 0.5000 0.5000 1
Pt1 Pt 0.0000 0.0000 0.5000 1
I1 I 0.0000 0.0000 0.0000 1
I2 I 0.0000 0.5000 0.0000 1
# Energy: -5.426 eV per atom
# Total moment: 0.000 μB/atom

=====

# TmLuCo (PBE, optimized geometry)
data_TmLuCo
_chemical_formula_sum 'Tm4 Lu4 Co4'
_space_group_name_H-M_alt 'F -4 3 m'
_space_group_IT_number 216
_space_group_name_Hall 'F -4 2 3'
_cell_length_a 6.512
_cell_length_b 6.512
_cell_length_c 6.512
_cell_angle_alpha 90.00
_cell_angle_beta 90.00
_cell_angle_gamma 90.00
loop_
_atom_site_label
_atom_site_type_symbol
_atom_site_fract_x
_atom_site_fract_y
_atom_site_fract_z
_atom_site_occupancy
Tm1 Tm 0.000 0.000 0.000 1
Lu1 Lu 0.000 0.000 0.500 1
Co1 Co 0.250 0.250 0.750 1
# Energy: -5.479 eV per atom
# ΔE to the lowest computed polymorph: 73 meV per atom
# Formation energy: -0.11 eV/atom
# Total moment: 0.000 μB/atom

=====

# Tm4BiC2 (PBE, optimized geometry)
data_Tm4BiC2
_chemical_formula_sum 'Tm12 Bi3 C6'
_space_group_name_H-M_alt 'R -3 m'
_space_group_IT_number 166
_space_group_name_Hall '-R 3 2"'
_cell_length_a 3.5814
_cell_length_b 3.5814
_cell_length_c 41.5640
_cell_angle_alpha 90.00
_cell_angle_beta 90.00
_cell_angle_gamma 120.00
loop_
_atom_site_label
_atom_site_type_symbol
_atom_site_fract_x
_atom_site_fract_y
_atom_site_fract_z
_atom_site_occupancy
Tm1 Tm 0.0000 0.0000 0.1255 1
Tm2 Tm 0.0000 0.0000 0.2706 1
Bi1 Bi 0.0000 0.0000 0.0000 1
C1 C 0.0000 0.0000 0.4269 1
# Energy: -6.219 eV per atom
# ΔE to the lowest computed polymorph: 3 meV per atom
# Formation energy: -0.47 eV/atom
# Total moment: 0.000 μB/atom

=====

# Er5Sb2H2 (PBE, optimized geometry)
data_Er5Sb2H2
_chemical_formula_sum 'Er10 Sb4 H4'
_space_group_name_H-M_alt 'C 1 2/m 1'
_space_group_IT_number 12
_space_group_name_Hall '-C 2y'
_cell_length_a 12.063
_cell_length_b 5.324
_cell_length_c 6.385
_cell_angle_alpha 90.00
_cell_angle_beta 104.52
_cell_angle_gamma 90.00
loop_
_atom_site_label
_atom_site_type_symbol
_atom_site_fract_x
_atom_site_fract_y
_atom_site_fract_z
_atom_site_occupancy
Er1 Er 0.000 0.000 0.000 1
Er2 Er 0.146 0.000 0.550 1
Er3 Er 0.174 0.500 0.871 1
Sb1 Sb 0.092 0.500 0.304 1
H1 H 0.162 0.000 0.892 1
# Energy: -4.695 eV per atom
# Total moment: 0.000 μB/atom

=====

# MgSi2Cl (PBE, optimized geometry)
data_MgSi2Cl
_chemical_formula_sum 'Mg4 Si8 Cl4'
_space_group_name_H-M_alt 'F -4 3 m'
_space_group_IT_number 216
_space_group_name_Hall 'F -4 2 3'
_cell_length_a 6.636
_cell_length_b 6.636
_cell_length_c 6.636
_cell_angle_alpha 90.00
_cell_angle_beta 90.00
_cell_angle_gamma 90.00
loop_
_atom_site_label
_atom_site_type_symbol
_atom_site_fract_x
_atom_site_fract_y
_atom_site_fract_z
_atom_site_occupancy
Mg1 Mg 0.000 0.000 0.000 1
Si1 Si 0.000 0.000 0.500 1
Si2 Si 0.250 0.250 0.750 1
Cl1 Cl 0.250 0.250 0.250 1
# Energy: -3.371 eV per atom
# ΔE to the lowest computed polymorph: 682 meV per atom
# Total moment: 0.000 μB/atom